(1)
A relaxed LaOs2Pt crystal. Source: Alexandria via LeMat-Bulk, functional GGA-PBEsol.

```
LaOs2Pt
1.0
4.096 0.000 0.000
0.000 4.096 0.000
-2.048 -2.048 4.146
La Os Pt
1 2 1
direct
0.000 0.000 0.000
0.750 0.250 0.500
0.250 0.750 0.500
0.500 0.500 0.000
```

Results
Energy relative to the lowest polymorph listed for this composition = 135 meV/atom
DOS(E_F) = 1.122 states/eV/atom

(2)
A relaxed LaTiOsPt2 crystal. Source: Alexandria via LeMat-Bulk, functional GGA-PBEsol.

```
LaTiOsPt2
1.0
4.922 0.000 0.000
0.000 4.922 0.000
0.000 0.000 4.933
Ti Os Pt La
1 1 2 1
direct
0.500 0.500 0.500
0.000 0.000 0.000
0.000 0.500 0.000
0.500 0.000 0.000
0.000 0.000 0.500
```

Results
DOS(E_F) = 1.586 states/eV/atom
Electronic total energy = -0.25947 Ha/atom

Please write out number 2 again, unchanged.
A relaxed LaTiOsPt2 crystal. Source: Alexandria via LeMat-Bulk, functional GGA-PBEsol.

```
LaTiOsPt2
1.0
4.922 0.000 0.000
0.000 4.922 0.000
0.000 0.000 4.933
Ti Os Pt La
1 1 2 1
direct
0.500 0.500 0.500
0.000 0.000 0.000
0.000 0.500 0.000
0.500 0.000 0.000
0.000 0.000 0.500
```

Results
DOS(E_F) = 1.586 states/eV/atom
Electronic total energy = -0.25947 Ha/atom

Repeat the second record exactly.
A relaxed LaTiOsPt2 crystal. Source: Alexandria via LeMat-Bulk, functional GGA-PBEsol.

```
LaTiOsPt2
1.0
4.922 0.000 0.000
0.000 4.922 0.000
0.000 0.000 4.933
Ti Os Pt La
1 1 2 1
direct
0.500 0.500 0.500
0.000 0.000 0.000
0.000 0.500 0.000
0.500 0.000 0.000
0.000 0.000 0.500
```

Results
DOS(E_F) = 1.586 states/eV/atom
Electronic total energy = -0.25947 Ha/atom

Please write out number 1 again, unchanged.
A relaxed LaOs2Pt crystal. Source: Alexandria via LeMat-Bulk, functional GGA-PBEsol.

```
LaOs2Pt
1.0
4.096 0.000 0.000
0.000 4.096 0.000
-2.048 -2.048 4.146
La Os Pt
1 2 1
direct
0.000 0.000 0.000
0.750 0.250 0.500
0.250 0.750 0.500
0.500 0.500 0.000
```

Results
Energy relative to the lowest polymorph listed for this composition = 135 meV/atom
DOS(E_F) = 1.122 states/eV/atom

Copy entry 2 word for word.
A relaxed LaTiOsPt2 crystal. Source: Alexandria via LeMat-Bulk, functional GGA-PBEsol.

```
LaTiOsPt2
1.0
4.922 0.000 0.000
0.000 4.922 0.000
0.000 0.000 4.933
Ti Os Pt La
1 1 2 1
direct
0.500 0.500 0.500
0.000 0.000 0.000
0.000 0.500 0.000
0.500 0.000 0.000
0.000 0.000 0.500
```

Results
DOS(E_F) = 1.586 states/eV/atom
Electronic total energy = -0.25947 Ha/atom